# PBE+U RbMoOsO6, optimized geometry
# Volume ... 138.80 Å³/f.u.
# Uncorrected energy ... -6.87 eV per atom
data_RbMoOsO6
_cell_length_a 7.239
_cell_length_b 7.385
_cell_length_c 10.385
_cell_angle_alpha 90.00
_cell_angle_beta 90.00
_cell_angle_gamma 90.00
_space_group_name_H-M_alt 'I m m a'
_space_group_IT_number 74
_space_group_name_Hall '-I 2b 2'
loop_
_atom_site_label
_atom_site_fract_x
_atom_site_fract_y
_atom_site_fract_z
_atom_site_occupancy
Rb1 0.000 0.250 0.119 1
Mo1 0.000 0.000 0.500 1
Os1 0.250 0.250 0.750 1
O1 0.000 0.250 0.435 1
O2 0.000 0.250 0.813 1
O3 0.190 0.065 0.622 1